No. 1
La4Ag2Hg PBE optimized geometry; crystal system = trigonal; E above lowest polymorph = 96 meV/atom; magnetic moment = 0.00 μB per atom; DFT total energy = -3.775 eV per atom; volume = 32.82 A^3/atom; E_form = -0.102 eV per atom
1.0
5.238 0.000 0.000
2.619 4.536 0.000
2.619 1.512 9.667
La Ag Hg
4 2 1
Direct
0.378 0.378 0.866 La
0.207 0.207 0.378 La
0.793 0.793 0.622 La
0.622 0.622 0.134 La
0.100 0.100 0.701 Ag
0.900 0.900 0.299 Ag
0.000 0.000 0.000 Hg



No. 2
DyPaGa2 PBE optimized geometry; crystal system = tetragonal; E above lowest polymorph = 0 meV/atom; magnetic moment = 0.00 μB per atom; DFT total energy = -5.428 eV per atom; volume = 22.05 A^3/atom; E_form = -0.390 eV per atom
1.0
-0.449 -0.103 3.255
-3.055 -1.124 -0.457
2.800 -7.668 0.144
Pa Ga Dy
1 2 1
Direct
0.500 0.500 0.500 Pa
0.000 0.000 0.751 Ga
0.000 0.000 0.249 Ga
0.500 0.500 0.000 Dy



No. 3
KIrW2 PBE optimized geometry; crystal system = tetragonal; E above lowest polymorph = 160 meV/atom; magnetic moment = 0.00 μB per atom; DFT total energy = -8.152 eV per atom; volume = 19.54 A^3/atom; E_form = 0.814 eV per atom
1.0
2.755 0.000 0.000
0.000 2.755 0.000
0.000 0.000 10.295
Ir K W
1 1 2
Direct
0.500 0.500 0.250 Ir
0.500 0.500 0.750 K
0.000 0.000 0.059 W
0.000 0.000 0.441 W



No. 4
LiHOs2 PBE optimized geometry; crystal system = cubic; E above lowest polymorph = 197 meV/atom; magnetic moment = 0.00 μB per atom; DFT total energy = -5.841 eV per atom; volume = 10.53 A^3/atom
1.0
0.000 2.762 2.762
2.762 0.000 2.762
2.762 2.762 0.000
H Os Li
1 2 1
Direct
0.000 0.000 0.000 H
0.250 0.250 0.250 Os
0.750 0.750 0.750 Os
0.500 0.500 0.500 Li



No. 5
Ca2ZrSb PBE optimized geometry; crystal system = tetragonal; magnetic moment = 0.21 μB per atom; DFT total energy = -4.343 eV per atom; formation energy from raw total energies = -0.174 eV per atom; volume = 28.23 A^3/atom
1.0
-0.276 -0.482 -4.175
-1.226 -3.998 0.542
-7.295 -2.113 0.725
Sb Ca Zr
1 2 1
Direct
0.500 0.250 0.250 Sb
0.000 0.990 0.009 Ca
0.000 0.510 0.491 Ca
0.500 0.750 0.750 Zr



No. 6
Ce5Hg2C2 PBE optimized geometry; crystal system = monoclinic; magnetic moment = 0.18 μB per atom; DFT total energy = -5.536 eV per atom; volume = 23.77 A^3/atom; E_form = -0.123 eV per atom
1.0
5.151 0.000 0.000
-2.575 6.100 -0.414
0.000 -1.405 6.904
Ce Hg C
5 2 2
Direct
0.324 0.648 0.162 Ce
0.676 0.352 0.838 Ce
0.121 0.242 0.549 Ce
0.879 0.758 0.451 Ce
0.000 0.000 0.000 Ce
0.393 0.787 0.718 Hg
0.607 0.213 0.282 Hg
0.165 0.331 0.893 C
0.835 0.669 0.107 C



No. 7
BiOsPt2 PBE optimized geometry; crystal system = tetragonal; magnetic moment = 0.00 μB per atom; DFT total energy = -6.103 eV per atom; volume = 25.56 A^3/atom; E_form = 0.695 eV per atom
1.0
5.450 0.000 0.000
0.000 5.450 0.000
2.725 2.725 6.886
Os Bi Pt
2 2 4
Direct
0.500 0.500 0.000 Os
0.250 0.750 0.500 Os
0.000 0.000 0.000 Bi
0.750 0.250 0.500 Bi
0.566 0.125 0.250 Pt
0.184 0.625 0.250 Pt
0.375 0.434 0.750 Pt
0.875 0.816 0.750 Pt



No. 8
InSnS PBE optimized geometry; crystal system = trigonal; E above lowest polymorph = 30 meV/atom; magnetic moment = 0.00 μB per atom; DFT total energy = -3.814 eV per atom; formation energy from raw total energies = -0.191 eV per atom; volume = 25.92 A^3/atom
1.0
-1.943 -3.050 -0.497
3.558 -0.211 0.790
-1.469 -0.135 6.576
S Sn In
1 1 1
Direct
0.667 0.333 0.317 S
0.000 0.000 0.057 Sn
0.333 0.667 0.626 In



No. 9
ZrHgGe2O PBE optimized geometry; crystal system = tetragonal; magnetic moment = 0.00 μB per atom; DFT total energy = -3.545 eV per atom; formation energy from raw total energies = 1.064 eV per atom; volume = 30.52 A^3/atom
1.0
5.215 0.000 0.000
0.000 5.610 0.000
0.000 0.000 5.215
O Ge Hg Zr
1 2 1 1
Direct
0.500 0.500 0.500 O
0.000 0.000 0.500 Ge
0.500 0.000 0.000 Ge
0.000 0.500 0.000 Hg
0.000 0.000 0.000 Zr



No. 10
Ho2NpTl2Se6 PBE optimized geometry; crystal system = monoclinic; magnetic moment = 0.27 μB per atom; DFT total energy = -5.636 eV per atom; formation energy from raw total energies = -1.297 eV per atom; volume = 31.65 A^3/atom
1.0
7.168 -0.027 0.060
-3.567 6.218 0.060
-1.288 -2.215 7.786
Ho Np Tl Se
2 1 2 6
Direct
0.333 0.667 0.500 Ho
0.667 0.333 0.500 Ho
0.000 0.000 0.500 Np
0.832 0.168 0.000 Tl
0.168 0.832 0.000 Tl
0.739 0.739 0.702 Se
0.067 0.398 0.701 Se
0.261 0.261 0.298 Se
0.398 0.067 0.701 Se
0.933 0.602 0.299 Se
0.602 0.933 0.299 Se



No. 11
AgW2Br PBE optimized geometry; crystal system = cubic; E above lowest polymorph = 921 meV/atom; magnetic moment = 0.00 μB per atom; DFT total energy = -6.190 eV per atom; formation energy from raw total energies = 1.418 eV per atom; volume = 16.63 A^3/atom
1.0
0.000 3.216 3.216
3.216 0.000 3.216
3.216 3.216 0.000
Br Ag W
1 1 2
Direct
0.000 0.000 0.000 Br
0.500 0.500 0.500 Ag
0.250 0.250 0.250 W
0.750 0.750 0.750 W



No. 12
Zr6HNO2 PBE optimized geometry; crystal system = trigonal; magnetic moment = 0.00 μB per atom; DFT total energy = -8.766 eV per atom; volume = 14.75 A^3/atom
1.0
5.701 0.001 0.000
2.852 4.940 0.000
2.851 1.648 5.236
Zr H N O
6 1 1 2
Direct
0.576 0.250 0.253 Zr
0.250 0.920 0.253 Zr
0.920 0.576 0.252 Zr
0.406 0.746 0.749 Zr
0.746 0.099 0.749 Zr
0.099 0.406 0.749 Zr
0.829 0.829 0.512 H
0.329 0.328 0.014 N
0.506 0.506 0.482 O
0.999 0.000 0.002 O